[1]
# NbS8I2

A relaxed NbS8I2 crystal (PBE-GGA, the Alexandria database).

Geometry as POSCAR:
```
NbS8I2
1.0
-5.190 2.864 -1.035
-2.500 -2.527 5.299
-1.489 5.695 9.524
S Nb I
8 1 2
Direct
0.019 0.589 0.261
0.023 0.082 0.752
0.122 0.387 0.020
0.878 0.613 0.980
0.417 0.006 0.927
0.583 0.994 0.073
0.981 0.411 0.739
0.977 0.918 0.248
0.000 0.000 0.000
0.642 0.264 0.401
0.358 0.736 0.599
```

Crystal system: triclinic
D(E_F), states/eV per cell: 5.25


[2]
# NbS2I2

A relaxed NbS2I2 crystal (PBE-GGA, the Alexandria database).

Geometry as POSCAR:
```
NbS2I2
1.0
-4.855 4.928 2.084
-4.521 -1.313 5.096
3.094 4.908 6.169
S I Nb
4 4 2
Direct
0.865 0.000 0.259
0.135 0.000 0.741
0.301 0.000 0.889
0.699 0.000 0.111
0.974 0.599 0.789
0.026 0.401 0.211
0.574 0.401 0.789
0.426 0.599 0.211
0.122 0.756 0.000
0.878 0.244 0.000
```

Crystal system: monoclinic


The records above give, respectively, total moment values of 0.0000; 0.0000 μB per atom.
The records above give, respectively, E_form (uncorrected) values of -58; -314 kJ/mol of formula units.